1.
# La2Tb3Th

Crystalline La2Tb3Th at its relaxed geometry (PBE, the Alexandria database).

E_tot   -122.18 eV per cell
Spin magnetization   0.000 μB/atom
Energy of formation   103 meV per atom
V   815.8 Å³/cell

a b c (Å): 9.1335 9.9498 9.1752
angles (deg): 90.00 101.94 90.00
Space group C2/c (No. 15)
One atom of each set of equivalent atoms:
La  0.1259  0.2491  0.1242 x8
Tb  0.0000  0.4171  0.7500 x4
Tb  0.2464  0.0828  0.4992 x8
Th  0.0000  0.0831  0.7500 x4



2.
# LaTb4Th

Crystalline LaTb4Th at its relaxed geometry (PBE, the Alexandria database).

E above lowest polymorph   0 meV per atom
E_tot   -30.68 eV per cell
Spin magnetization   0.000 μB/atom
Energy of formation   31 meV per atom
V   197.3 Å³/cell

a b c (Å): 3.5910 6.2017 9.5430
angles (deg): 77.94 79.19 73.41
Space group P-1 (No. 2)
One atom of each set of equivalent atoms:
La  0.0000  0.0000  0.0000 x1
Tb  0.3339  0.9923  0.3408 x2
Tb  0.3346  0.5066  0.8244 x2
Th  0.0000  0.5000  0.5000 x1



3.
# La2Tb8Th3

Crystalline La2Tb8Th3 at its relaxed geometry (PBE, the Alexandria database).

E_tot   -131.51 eV per cell
Spin magnetization   0.000 μB/atom
Energy of formation   262 meV per atom
V   907.1 Å³/cell

a b c (Å): 7.9118 20.7363 5.5289
angles (deg): 90.00 90.00 90.00
Space group Cmmm (No. 65)
One atom of each set of equivalent atoms:
La  0.0000  0.2396  0.0000 x4
Tb  0.0000  0.1205  0.5000 x4
Tb  0.0000  0.3390  0.5000 x4
Tb  0.2055  0.3962  0.0000 x8
Th  0.0000  0.0000  0.0000 x2
Th  0.2024  0.5000  0.5000 x4



4.
# La6Tb4Th

Crystalline La6Tb4Th at its relaxed geometry (PBE, the Alexandria database).

E_tot   -216.32 eV per cell
Spin magnetization   0.000 μB/atom
Energy of formation   130 meV per atom
V   1541.8 Å³/cell

a b c (Å): 5.9654 9.8480 26.2440
angles (deg): 90.00 90.00 90.00
Space group Cmcm (No. 63)
One atom of each set of equivalent atoms:
La  0.0000  0.0000  0.0000 x4
La  0.0000  0.0537  0.2500 x4
La  0.0000  0.2991  0.5998 x8
La  0.0000  0.3801  0.1813 x8
Tb  0.0000  0.0458  0.1245 x8
Tb  0.0000  0.3487  0.0441 x8
Th  0.0000  0.2894  0.7500 x4



5.
# La3TbTh

Crystalline La3TbTh at its relaxed geometry (PBE, the Alexandria database).

E above lowest polymorph   0 meV per atom
E_tot   -53.45 eV per cell
Spin magnetization   0.000 μB/atom
Energy of formation   21 meV per atom
V   347.7 Å³/cell

a b c (Å): 3.6570 3.6570 30.0181
angles (deg): 90.00 90.00 120.00
Space group P6_3mc (No. 186)
One atom of each set of equivalent atoms:
La  0.0000  0.0000  0.0000 x2
La  0.3333  0.6667  0.1076 x2
La  0.3333  0.6667  0.7999 x2
Tb  0.3333  0.6667  0.4034 x2
Th  0.0000  0.0000  0.2037 x2



6.
# La2Tb5Th2

Crystalline La2Tb5Th2 at its relaxed geometry (PBE, the Alexandria database).

E_tot   -91.46 eV per cell
Spin magnetization   0.000 μB/atom
Energy of formation   235 meV per atom
V   637.9 Å³/cell

a b c (Å): 22.6243 3.5044 8.1530
angles (deg): 90.00 99.29 90.00
Space group C2/m (No. 12)
One atom of each set of equivalent atoms:
La  0.1764  0.0000  0.1450 x4
Tb  0.0000  0.0000  0.0000 x2
Tb  0.0899  0.0000  0.7256 x4
Tb  0.1922  0.5000  0.5471 x4
Th  0.0514  0.5000  0.3550 x4



7.
# LaTbTh14

Crystalline LaTbTh14 at its relaxed geometry (PBE, the Alexandria database).

E_tot   -225.67 eV per cell
Spin magnetization   0.000 μB/atom
Energy of formation   37 meV per atom
V   1040.0 Å³/cell

a b c (Å): 11.6273 7.1807 12.4560
angles (deg): 90.00 90.00 90.00
Space group Amm2 (No. 38)
One atom of each set of equivalent atoms:
La  0.0000  0.0000  0.0000 x2
Tb  0.0000  0.0000  0.4991 x2
Th  0.0000  0.2476  0.2470 x4
Th  0.2502  0.0000  0.6653 x4
Th  0.2519  0.0000  0.1658 x4
Th  0.2516  0.2492  0.4149 x8
Th  0.5000  0.0000  0.3320 x2
Th  0.5000  0.0000  0.8317 x2
Th  0.5000  0.2501  0.0817 x4



8.
# La3TbTh2

Crystalline La3TbTh2 at its relaxed geometry (PBE, the Alexandria database).

E above lowest polymorph   359 meV per atom
E_tot   -191.10 eV per cell
Spin magnetization   0.000 μB/atom
Energy of formation   400 meV per atom
V   1242.0 Å³/cell

a b c (Å): 11.8721 11.8721 10.1748
angles (deg): 90.00 90.00 120.00
Space group R-3m (No. 166, hexagonal axes)
One atom of each set of equivalent atoms:
La  0.0009  0.5005  0.1664 x18
Tb  0.0000  0.0000  0.1641 x6
Th  0.0000  0.0000  0.5000 x3
Th  0.0000  0.5000  0.5000 x9



> Look up the energy of formation of the fifth one.

21 meV per atom